[1]
The following is a DFT calculation (GGA-PBE) of an optimized crystal structure of TaCr3Se.

```
data_TaCr3Se
_space_group_name_H-M_alt 'P m -3 m'
_space_group_IT_number 221
_space_group_name_Hall '-P 4 2 3'
_cell_length_a 4.320
_cell_length_b 4.320
_cell_length_c 4.320
_cell_angle_alpha 90.00
_cell_angle_beta 90.00
_cell_angle_gamma 90.00
loop_
_atom_site_label
_atom_site_fract_x
_atom_site_fract_y
_atom_site_fract_z
_atom_site_occupancy
Ta1 0.000 0.000 0.000 1
Cr1 0.000 0.500 0.500 1
Se1 0.500 0.500 0.500 1
```

* offset from the most stable computed form: 0 meV per atom

=====

[2]
The following is a DFT calculation (GGA-PBE) of an optimized crystal structure of TaCr3Se.

```
data_TaCr3Se
_space_group_name_H-M_alt 'P m -3 m'
_space_group_IT_number 221
_space_group_name_Hall '-P 4 2 3'
_cell_length_a 4.784
_cell_length_b 4.784
_cell_length_c 4.784
_cell_angle_alpha 90.00
_cell_angle_beta 90.00
_cell_angle_gamma 90.00
loop_
_atom_site_label
_atom_site_fract_x
_atom_site_fract_y
_atom_site_fract_z
_atom_site_occupancy
Ta1 0.000 0.000 0.000 1
Cr1 0.000 0.000 0.500 1
Se1 0.500 0.500 0.500 1
```

* offset from the most stable computed form: 636 meV per atom

=====

[3]
The following is a DFT calculation (GGA-PBE) of an optimized crystal structure of Ta2CrSe.

```
data_Ta2CrSe
_space_group_name_H-M_alt 'P 4 m m'
_space_group_IT_number 99
_cell_length_a 3.298
_cell_length_b 3.298
_cell_length_c 6.148
_cell_angle_alpha 90.00
_cell_angle_beta 90.00
_cell_angle_gamma 90.00
loop_
_space_group_symop_operation_xyz
'x,y,z'
'-y,x,z'
'-x,-y,z'
'y,-x,z'
'-x,y,z'
'y,x,z'
'x,-y,z'
'-y,-x,z'
loop_
_atom_site_label
_atom_site_fract_x
_atom_site_fract_y
_atom_site_fract_z
_atom_site_occupancy
Ta1 0.000 0.000 0.000 1
Ta2 0.500 0.500 0.283 1
Cr1 0.000 0.000 0.495 1
Se1 0.500 0.500 0.765 1
```

* VASP energy: -9.16 eV per atom

=====

[4]
The following is a DFT calculation (GGA-PBE) of an optimized crystal structure of TaCrSe3.

```
data_TaCrSe3
_space_group_name_H-M_alt 'P m -3 m'
_space_group_IT_number 221
_space_group_name_Hall '-P 4 2 3'
_cell_length_a 4.757
_cell_length_b 4.757
_cell_length_c 4.757
_cell_angle_alpha 90.00
_cell_angle_beta 90.00
_cell_angle_gamma 90.00
loop_
_atom_site_label
_atom_site_fract_x
_atom_site_fract_y
_atom_site_fract_z
_atom_site_occupancy
Ta1 0.000 0.000 0.000 1
Cr1 0.500 0.500 0.500 1
Se1 0.000 0.500 0.500 1
```

* offset from the most stable computed form: 1069 meV per atom

=====

[5]
The following is a DFT calculation (GGA-PBE) of an optimized crystal structure of Ta2CrSe.

```
data_Ta2CrSe
_space_group_name_H-M_alt 'C m m 2'
_space_group_IT_number 35
_cell_length_a 3.540
_cell_length_b 4.803
_cell_length_c 7.912
_cell_angle_alpha 90.00
_cell_angle_beta 90.00
_cell_angle_gamma 90.00
loop_
_space_group_symop_operation_xyz
'x,y,z'
'-x,-y,z'
'-x,y,z'
'x,-y,z'
'x+1/2,y+1/2,z'
'-x+1/2,-y+1/2,z'
'-x+1/2,y+1/2,z'
'x+1/2,-y+1/2,z'
loop_
_atom_site_label
_atom_site_fract_x
_atom_site_fract_y
_atom_site_fract_z
_atom_site_occupancy
Ta1 0.000 0.000 0.000 1
Ta2 0.000 0.500 0.278 1
Cr1 0.000 0.000 0.534 1
Se1 0.000 0.500 0.747 1
```

* VASP energy: -9.05 eV per atom

=====

[6]
The following is a DFT calculation (GGA-PBE) of an optimized crystal structure of Ta2CrSe6.

```
data_Ta2CrSe6
_space_group_name_H-M_alt 'C 1 2/m 1'
_space_group_IT_number 12
_cell_length_a 17.248
_cell_length_b 3.525
_cell_length_c 8.039
_cell_angle_alpha 90.00
_cell_angle_beta 114.23
_cell_angle_gamma 90.00
loop_
_space_group_symop_operation_xyz
'x,y,z'
'-x,-y,-z'
'-x,y,-z'
'x,-y,z'
'x+1/2,y+1/2,z'
'-x+1/2,-y+1/2,-z'
'-x+1/2,y+1/2,-z'
'x+1/2,-y+1/2,z'
loop_
_atom_site_label
_atom_site_fract_x
_atom_site_fract_y
_atom_site_fract_z
_atom_site_occupancy
Ta1 0.157 0.000 0.321 1
Cr1 0.000 0.500 0.000 1
Se1 0.001 0.000 0.774 1
Se2 0.159 0.500 0.085 1
Se3 0.173 0.500 0.571 1
```

* offset from the most stable computed form: 0 meV per atom

=====

[7]
The following is a DFT calculation (GGA-PBE) of an optimized crystal structure of TaCrSe2.

```
data_TaCrSe2
_space_group_name_H-M_alt 'I m m 2'
_space_group_IT_number 44
_cell_length_a 3.177
_cell_length_b 4.384
_cell_length_c 9.981
_cell_angle_alpha 90.00
_cell_angle_beta 90.00
_cell_angle_gamma 90.00
loop_
_space_group_symop_operation_xyz
'x,y,z'
'-x,-y,z'
'-x,y,z'
'x,-y,z'
'x+1/2,y+1/2,z+1/2'
'-x+1/2,-y+1/2,z+1/2'
'-x+1/2,y+1/2,z+1/2'
'x+1/2,-y+1/2,z+1/2'
loop_
_atom_site_label
_atom_site_fract_x
_atom_site_fract_y
_atom_site_fract_z
_atom_site_occupancy
Ta1 0.000 0.000 0.000 1
Cr1 0.000 0.500 0.799 1
Se1 0.000 0.000 0.498 1
Se2 0.000 0.500 0.283 1
```

* offset from the most stable computed form: 452 meV per atom

=====

[8]
The following is a DFT calculation (GGA-PBE) of an optimized crystal structure of Ta2CrSe6.

```
data_Ta2CrSe6
_space_group_name_H-M_alt 'P 1 21/c 1'
_space_group_IT_number 14
_cell_length_a 6.004
_cell_length_b 6.291
_cell_length_c 12.329
_cell_angle_alpha 90.00
_cell_angle_beta 118.74
_cell_angle_gamma 90.00
loop_
_space_group_symop_operation_xyz
'x,y,z'
'-x,-y,-z'
'-x,y+1/2,-z+1/2'
'x,-y+1/2,z+1/2'
loop_
_atom_site_label
_atom_site_fract_x
_atom_site_fract_y
_atom_site_fract_z
_atom_site_occupancy
Ta1 0.169 0.133 0.250 1
Cr1 0.500 0.000 0.000 1
Se1 0.073 0.176 0.910 1
Se2 0.223 0.665 0.911 1
Se3 0.465 0.060 0.785 1
```

* offset from the most stable computed form: 226 meV per atom

=====

[9]
The following is a DFT calculation (GGA-PBE) of an optimized crystal structure of TaCrSe2.

```
data_TaCrSe2
_space_group_name_H-M_alt 'C 1 m 1'
_space_group_IT_number 8
_cell_length_a 9.213
_cell_length_b 3.284
_cell_length_c 4.623
_cell_angle_alpha 90.00
_cell_angle_beta 100.94
_cell_angle_gamma 90.00
loop_
_space_group_symop_operation_xyz
'x,y,z'
'x,-y,z'
'x+1/2,y+1/2,z'
'x+1/2,-y+1/2,z'
loop_
_atom_site_label
_atom_site_fract_x
_atom_site_fract_y
_atom_site_fract_z
_atom_site_occupancy
Ta1 0.000 0.000 0.000 1
Cr1 0.267 0.500 0.359 1
Se1 0.008 0.500 0.467 1
Se2 0.271 0.000 0.879 1
```

* offset from the most stable computed form: 300 meV per atom

=====

[10]
The following is a DFT calculation (GGA-PBE) of an optimized crystal structure of TaCrSe2.

```
data_TaCrSe2
_space_group_name_H-M_alt 'P 1 m 1'
_space_group_IT_number 6
_cell_length_a 3.497
_cell_length_b 3.887
_cell_length_c 6.852
_cell_angle_alpha 90.00
_cell_angle_beta 90.28
_cell_angle_gamma 90.00
loop_
_space_group_symop_operation_xyz
'x,y,z'
'x,-y,z'
loop_
_atom_site_label
_atom_site_fract_x
_atom_site_fract_y
_atom_site_fract_z
_atom_site_occupancy
Ta1 0.000 0.000 0.000 1
Cr1 0.500 0.500 0.015 1
Se1 0.503 0.000 0.272 1
Se2 0.998 0.500 0.750 1
```

* offset from the most stable computed form: 0 meV per atom

=====

[11]
The following is a DFT calculation (GGA-PBE) of an optimized crystal structure of Ta2CrSe.

```
data_Ta2CrSe
_space_group_name_H-M_alt 'P 1 m 1'
_space_group_IT_number 6
_cell_length_a 3.094
_cell_length_b 4.419
_cell_length_c 4.965
_cell_angle_alpha 90.00
_cell_angle_beta 105.93
_cell_angle_gamma 90.00
loop_
_space_group_symop_operation_xyz
'x,y,z'
'x,-y,z'
loop_
_atom_site_label
_atom_site_fract_x
_atom_site_fract_y
_atom_site_fract_z
_atom_site_occupancy
Ta1 0.000 0.000 0.000 1
Ta2 0.236 0.500 0.700 1
Cr1 0.695 0.500 0.184 1
Se1 0.702 0.000 0.452 1
```

* VASP energy: -9.14 eV per atom

=====

[12]
The following is a DFT calculation (GGA-PBE) of an optimized crystal structure of Ta2CrSe.

```
data_Ta2CrSe
_space_group_name_H-M_alt 'P 4/m m m'
_space_group_IT_number 123
_space_group_name_Hall '-P 4 2'
_cell_length_a 3.206
_cell_length_b 3.206
_cell_length_c 6.344
_cell_angle_alpha 90.00
_cell_angle_beta 90.00
_cell_angle_gamma 90.00
loop_
_atom_site_label
_atom_site_fract_x
_atom_site_fract_y
_atom_site_fract_z
_atom_site_occupancy
Ta1 0.000 0.000 0.227 1
Cr1 0.500 0.500 0.000 1
Se1 0.500 0.500 0.500 1
```

* VASP energy: -9.14 eV per atom

=====

[13]
The following is a DFT calculation (GGA-PBE) of an optimized crystal structure of TaCrSe2.

```
data_TaCrSe2
_space_group_name_H-M_alt 'P 1 2/m 1'
_space_group_IT_number 10
_cell_length_a 3.377
_cell_length_b 3.324
_cell_length_c 7.220
_cell_angle_alpha 90.00
_cell_angle_beta 103.21
_cell_angle_gamma 90.00
loop_
_space_group_symop_operation_xyz
'x,y,z'
'-x,-y,-z'
'-x,y,-z'
'x,-y,z'
loop_
_atom_site_label
_atom_site_fract_x
_atom_site_fract_y
_atom_site_fract_z
_atom_site_occupancy
Ta1 0.000 0.000 0.000 1
Cr1 0.000 0.000 0.500 1
Se1 0.265 0.500 0.277 1
```

* offset from the most stable computed form: 526 meV per atom